{
  "formula": "Ta2BeB2Ru5",
  "functional": "PBE",
  "state": "optimized geometry",
  "e_form_mev_per_atom": -502,
  "lattice_angstrom": [[-2.990, 0.072, -0.175], [0.348, -4.655, -7.844], [-0.460, -7.848, 4.637]],
  "species": ["Ta", "Ru", "B", "B", "Ta", "B", "Be", "Ru", "Ru", "Ru", "Ru", "Ru", "Ru", "B", "Ru", "Ta", "Ru", "Ru", "Be", "Ta"],
  "frac_coords": [[0.000, 0.177, 0.323], [0.500, 0.209, 0.068], [0.000, 0.628, 0.872], [0.000, 0.872, 0.372], [0.000, 0.323, 0.823], [0.000, 0.372, 0.128], [0.000, 0.500, 0.500], [0.500, 0.932, 0.209], [0.500, 0.291, 0.568], [0.500, 0.432, 0.291], [0.500, 0.000, 0.500], [0.500, 0.709, 0.432], [0.500, 0.068, 0.791], [0.000, 0.128, 0.628], [0.500, 0.791, 0.932], [0.000, 0.677, 0.177], [0.500, 0.500, 0.000], [0.500, 0.568, 0.709], [0.000, 0.000, 0.000], [0.000, 0.823, 0.677]]
}

---

{
  "formula": "TiBe2BRu",
  "functional": "PBE",
  "state": "optimized geometry",
  "e_form_mev_per_atom": 1640,
  "lattice_angstrom": [[4.159, 0.000, 0.000], [0.000, 3.800, 0.000], [0.000, 0.000, 4.159]],
  "species": ["Be", "B", "Be", "Ru", "Ti"],
  "frac_coords": [[0.500, 0.000, 0.000], [0.000, 0.500, 0.000], [0.000, 0.000, 0.500], [0.500, 0.500, 0.500], [0.000, 0.000, 0.000]]
}

---

{
  "formula": "Tm2BeB2Ru5",
  "functional": "PBE",
  "state": "optimized geometry",
  "e_form_mev_per_atom": -404,
  "lattice_angstrom": [[-2.992, 0.438, -0.552], [0.320, -6.394, -6.818], [-2.120, -6.694, 6.179]],
  "species": ["Ru", "Ru", "Tm", "Ru", "Ru", "Ru", "Ru", "Tm", "B", "Ru", "Ru", "B", "B", "Be", "Ru", "Tm", "B", "Tm", "Ru", "Be"],
  "frac_coords": [[0.500, 0.793, 0.932], [0.500, 0.000, 0.500], [0.000, 0.175, 0.325], [0.500, 0.932, 0.207], [0.500, 0.293, 0.568], [0.500, 0.568, 0.707], [0.500, 0.500, 0.000], [0.000, 0.825, 0.675], [0.000, 0.373, 0.127], [0.500, 0.068, 0.793], [0.500, 0.432, 0.293], [0.000, 0.627, 0.873], [0.000, 0.873, 0.373], [0.000, 0.500, 0.500], [0.500, 0.207, 0.068], [0.000, 0.675, 0.175], [0.000, 0.127, 0.627], [0.000, 0.325, 0.825], [0.500, 0.707, 0.432], [0.000, 0.000, 0.000]]
}

---

{
  "formula": "TmBe2BRu2",
  "functional": "PBE",
  "state": "optimized geometry",
  "e_form_mev_per_atom": -403,
  "lattice_angstrom": [[4.097, 0.000, 0.000], [0.000, 4.097, 0.000], [0.000, 0.000, 4.970]],
  "species": ["Ru", "Ru", "Be", "B", "Be", "Tm"],
  "frac_coords": [[0.000, 0.500, 0.000], [0.500, 0.000, 0.000], [0.500, 0.500, 0.239], [0.000, 0.000, 0.000], [0.500, 0.500, 0.761], [0.000, 0.000, 0.500]]
}

---

{
  "formula": "TmBe2BRu",
  "functional": "PBE",
  "state": "optimized geometry",
  "e_form_mev_per_atom": -317,
  "lattice_angstrom": [[-2.967, 1.144, 1.404], [-1.859, -2.183, -2.151], [2.655, -3.085, 3.821]],
  "species": ["B", "Ru", "Be", "Tm", "Be"],
  "frac_coords": [[0.825, 0.825, 0.649], [0.196, 0.696, 0.393], [0.055, 0.055, 0.109], [0.434, 0.434, 0.868], [0.703, 0.203, 0.405]]
}

---

{
  "formula": "U2BeB2Ru5",
  "functional": "PBE",
  "state": "optimized geometry",
  "e_form_mev_per_atom": -422,
  "lattice_angstrom": [[-1.344, 2.717, -0.717], [-7.163, -2.043, 5.682], [4.486, 4.100, 7.129]],
  "species": ["Ru", "Ru", "U", "B", "Ru", "U", "B", "Be", "B", "U", "Ru", "U", "Ru", "Ru", "Be", "Ru", "Ru", "Ru", "B", "Ru"],
  "frac_coords": [[0.500, 0.212, 0.071], [0.500, 0.288, 0.571], [0.000, 0.676, 0.176], [0.000, 0.625, 0.875], [0.500, 0.571, 0.712], [0.000, 0.176, 0.324], [0.000, 0.375, 0.125], [0.000, 0.000, 0.000], [0.000, 0.875, 0.375], [0.000, 0.824, 0.676], [0.500, 0.788, 0.929], [0.000, 0.324, 0.824], [0.500, 0.500, 0.000], [0.500, 0.000, 0.500], [0.000, 0.500, 0.500], [0.500, 0.071, 0.788], [0.500, 0.712, 0.429], [0.500, 0.929, 0.212], [0.000, 0.125, 0.625], [0.500, 0.429, 0.288]]
}